(1)
The following is a DFT calculation (meta-GGA SCAN) of a PBEsol-optimized structure of Li2CaYTe.

Cell and atoms, written as CIF:
```
data_Li2CaYTe
_space_group_name_H-M_alt 'P 4/m m m'
_space_group_IT_number 123
_space_group_name_Hall '-P 4 2'
_cell_length_a 5.2651
_cell_length_b 5.2651
_cell_length_c 6.3310
_cell_angle_alpha 90.00
_cell_angle_beta 90.00
_cell_angle_gamma 90.00
loop_
_atom_site_label
_atom_site_fract_x
_atom_site_fract_y
_atom_site_fract_z
_atom_site_occupancy
Li1 0.0000 0.5000 0.0000 1
Ca1 0.0000 0.0000 0.5000 1
Y1 0.0000 0.0000 0.0000 1
Te1 0.5000 0.5000 0.5000 1
```

Calculated values
As for the theoretical density: 2.6 Mg/m³. As for the energy relative to the elements, uncorrected: 16.877 kcal/mol of atoms. The raw total energy is -75.878 eV/cell.

---

(2)
The following is a DFT calculation (meta-GGA SCAN) of a PBEsol-optimized structure of BaTe2Ru2.

Cell and atoms, written as CIF:
```
data_BaTe2Ru2
_space_group_name_H-M_alt 'I 4/m m m'
_space_group_IT_number 139
_space_group_name_Hall '-I 4 2'
_cell_length_a 4.2801
_cell_length_b 4.2801
_cell_length_c 13.1036
_cell_angle_alpha 90.00
_cell_angle_beta 90.00
_cell_angle_gamma 90.00
loop_
_atom_site_label
_atom_site_fract_x
_atom_site_fract_y
_atom_site_fract_z
_atom_site_occupancy
Ba1 0.0000 0.0000 0.0000 1
Te1 0.0000 0.0000 0.3585 1
Ru1 0.0000 0.5000 0.2500 1
```

Calculated values
As for the theoretical density: 8.2 Mg/m³. As for the energy relative to the elements, uncorrected: -13.340 kcal/mol of atoms. The raw total energy is -373.195 eV/cell.

---

(3)
The following is a DFT calculation (meta-GGA SCAN) of a PBEsol-optimized structure of MgSi2Os.

Cell and atoms, written as CIF:
```
data_MgSi2Os
_space_group_name_H-M_alt 'C m m m'
_space_group_IT_number 65
_space_group_name_Hall '-C 2 2'
_cell_length_a 5.2573
_cell_length_b 7.1720
_cell_length_c 2.9616
_cell_angle_alpha 90.00
_cell_angle_beta 90.00
_cell_angle_gamma 90.00
loop_
_atom_site_label
_atom_site_fract_x
_atom_site_fract_y
_atom_site_fract_z
_atom_site_occupancy
Mg1 0.0000 0.0000 0.0000 1
Si1 0.2500 0.2500 0.5000 1
Os1 0.0000 0.5000 0.0000 1
```

Calculated values
As for the theoretical density: 8.1 Mg/m³. As for the energy relative to the elements, uncorrected: 3.486 kcal/mol of atoms. The raw total energy is -192.561 eV/cell.